[1]
EuDy2S4 | SCAN | PBEsol geometry

Cell and atoms, written as POSCAR:
```
EuDy2S4
1.0
-2.525 -0.371 -3.008
8.067 -4.527 -6.213
-3.624 -12.799 4.620
Eu Dy S
4 8 16
Direct
0.750 0.762 0.159
0.750 0.262 0.341
0.250 0.238 0.841
0.250 0.738 0.659
0.750 0.104 0.100
0.750 0.604 0.400
0.250 0.896 0.900
0.250 0.396 0.600
0.750 0.064 0.606
0.750 0.564 0.894
0.250 0.936 0.394
0.250 0.436 0.106
0.750 0.274 0.692
0.750 0.774 0.808
0.250 0.726 0.308
0.250 0.226 0.192
0.750 0.346 0.987
0.750 0.846 0.513
0.250 0.654 0.013
0.250 0.154 0.487
0.750 0.505 0.218
0.750 0.005 0.282
0.250 0.495 0.782
0.250 0.995 0.718
0.750 0.066 0.912
0.750 0.566 0.588
0.250 0.934 0.088
0.250 0.434 0.412
```

Computed properties:
SG ... Pnma
DOS at the Fermi energy ... 38.07 states/eV per cell
Raw formation energy ... -2388.8 meV per atom

***

[2]
EuDy2Se4 | SCAN | PBEsol geometry

Cell and atoms, written as POSCAR:
```
EuDy2Se4
1.0
4.096 0.000 0.000
0.000 11.659 0.000
0.000 0.000 14.745
Eu Se Dy
4 16 8
Direct
0.750 0.762 0.160
0.250 0.738 0.660
0.750 0.262 0.340
0.250 0.238 0.840
0.750 0.273 0.691
0.750 0.005 0.282
0.750 0.505 0.218
0.750 0.344 0.986
0.250 0.495 0.782
0.250 0.727 0.309
0.250 0.433 0.412
0.250 0.656 0.014
0.250 0.933 0.088
0.750 0.067 0.912
0.750 0.567 0.588
0.250 0.156 0.486
0.750 0.844 0.514
0.250 0.227 0.191
0.250 0.995 0.718
0.750 0.773 0.809
0.750 0.063 0.604
0.250 0.396 0.600
0.250 0.937 0.396
0.250 0.437 0.104
0.750 0.104 0.100
0.750 0.563 0.896
0.250 0.896 0.900
0.750 0.604 0.400
```

Computed properties:
SG ... Pnma
DOS at the Fermi energy ... 39.46 states/eV per cell
Raw formation energy ... -2155.6 meV per atom

***

[3]
DyF3 | SCAN | PBEsol geometry

Cell and atoms, written as POSCAR:
```
DyF3
1.0
6.706 0.000 0.000
-3.353 5.807 0.000
0.000 0.000 6.906
Dy F
6 18
Direct
0.654 0.654 0.250
0.346 0.346 0.750
0.000 0.346 0.250
0.000 0.654 0.750
0.346 0.000 0.250
0.654 0.000 0.750
0.000 0.000 0.250
0.000 0.000 0.750
0.667 0.333 0.319
0.333 0.667 0.681
0.333 0.667 0.181
0.667 0.333 0.819
0.625 0.932 0.421
0.375 0.068 0.579
0.307 0.375 0.421
0.693 0.068 0.079
0.693 0.625 0.579
0.307 0.932 0.921
0.068 0.693 0.421
0.932 0.625 0.079
0.932 0.307 0.579
0.068 0.375 0.921
0.375 0.307 0.079
0.625 0.693 0.921
```

Computed properties:
SG ... P-3c1
DOS at the Fermi energy ... 0.00 states/eV per cell
Raw formation energy ... -4437.6 meV per atom

***

[4]
K2DyF5 | SCAN | PBEsol geometry

Cell and atoms, written as POSCAR:
```
K2DyF5
1.0
6.555 0.000 0.000
0.000 7.209 0.000
0.000 0.000 10.706
K F Dy
8 20 4
Direct
0.466 0.503 0.828
0.534 0.497 0.172
0.966 0.497 0.672
0.534 0.003 0.172
0.034 0.503 0.328
0.466 0.997 0.828
0.034 0.997 0.328
0.966 0.003 0.672
0.164 0.250 0.808
0.836 0.750 0.192
0.664 0.750 0.692
0.336 0.250 0.308
0.632 0.250 0.668
0.368 0.750 0.332
0.132 0.750 0.832
0.868 0.250 0.168
0.105 0.250 0.512
0.895 0.750 0.488
0.605 0.750 0.988
0.395 0.250 0.012
0.353 0.965 0.577
0.647 0.035 0.423
0.853 0.035 0.923
0.647 0.465 0.423
0.147 0.965 0.077
0.353 0.535 0.577
0.147 0.535 0.077
0.853 0.465 0.923
0.438 0.250 0.505
0.562 0.750 0.495
0.938 0.750 0.995
0.062 0.250 0.005
```

Computed properties:
SG ... Pnma
DOS at the Fermi energy ... 0.00 states/eV per cell
Raw formation energy ... -3744.3 meV per atom

***

[5]
K3DyF6 | SCAN | PBEsol geometry

Cell and atoms, written as POSCAR:
```
K3DyF6
1.0
-4.756 1.927 4.038
-6.237 -1.256 -1.468
-3.341 -4.421 3.455
K F Dy
3 6 1
Direct
0.500 0.500 0.500
0.250 0.250 0.250
0.750 0.750 0.750
0.232 0.768 0.232
0.232 0.232 0.768
0.768 0.768 0.232
0.232 0.768 0.768
0.768 0.232 0.768
0.768 0.232 0.232
0.000 0.000 0.000
```

Computed properties:
SG ... Fm-3m
DOS at the Fermi energy ... 0.00 states/eV per cell
Raw formation energy ... -3460.0 meV per atom

***

[6]
DyOF | SCAN | PBEsol geometry

Cell and atoms, written as POSCAR:
```
DyOF
1.0
3.769 0.000 0.000
1.884 3.264 0.000
1.884 1.088 6.256
Dy O F
2 2 2
Direct
0.259 0.259 0.224
0.741 0.741 0.776
0.378 0.378 0.865
0.622 0.622 0.135
0.870 0.870 0.390
0.130 0.130 0.610
```

Computed properties:
SG ... R-3m
DOS at the Fermi energy ... 0.00 states/eV per cell
Raw formation energy ... -4235.4 meV per atom

***

[7]
Dy3SOF5 | SCAN | PBEsol geometry

Cell and atoms, written as POSCAR:
```
Dy3SOF5
1.0
3.617 0.000 0.000
0.000 9.238 0.003
0.000 -4.583 8.080
Dy S O F
6 2 2 10
Direct
0.000 0.416 0.133
0.000 0.868 0.272
0.000 0.701 0.585
0.500 0.596 0.896
0.500 0.122 0.714
0.500 0.296 0.403
0.000 0.330 0.667
0.500 0.673 0.338
0.000 0.436 0.387
0.000 0.616 0.052
0.000 0.157 0.880
0.000 0.113 0.273
0.000 0.727 0.839
0.500 0.856 0.118
0.500 0.879 0.717
0.500 0.270 0.148
0.000 0.953 0.566
0.500 0.569 0.626
0.500 0.377 0.952
0.500 0.045 0.433
```

Computed properties:
SG ... Pm
DOS at the Fermi energy ... 0.00 states/eV per cell
Raw formation energy ... -4057.1 meV per atom

***

[8]
Dy3Se4O12F | SCAN | PBEsol geometry

Cell and atoms, written as POSCAR:
```
Dy3Se4O12F
1.0
6.747 0.000 0.000
0.000 10.327 0.000
0.000 -5.164 8.944
Dy Se O F
6 8 24 2
Direct
0.184 0.077 0.538
0.184 0.462 0.923
0.684 0.538 0.462
0.184 0.462 0.538
0.684 0.923 0.462
0.684 0.538 0.077
0.414 0.155 0.310
0.414 0.155 0.845
0.914 0.310 0.155
0.914 0.845 0.155
0.744 0.333 0.667
0.914 0.845 0.690
0.244 0.667 0.333
0.414 0.690 0.845
0.988 0.919 0.583
0.172 0.632 0.816
0.672 0.816 0.184
0.988 0.919 0.337
0.488 0.081 0.417
0.988 0.417 0.337
0.672 0.368 0.184
0.488 0.583 0.919
0.861 0.419 0.581
0.988 0.663 0.583
0.361 0.839 0.419
0.861 0.161 0.581
0.488 0.583 0.663
0.361 0.581 0.419
0.361 0.581 0.161
0.488 0.337 0.417
0.172 0.184 0.368
0.988 0.417 0.081
0.172 0.184 0.816
0.488 0.081 0.663
0.988 0.663 0.081
0.672 0.816 0.632
0.488 0.337 0.919
0.861 0.419 0.839
0.733 0.667 0.333
0.233 0.333 0.667
```

Computed properties:
SG ... P6_3mc
DOS at the Fermi energy ... 0.00 states/eV per cell
Raw formation energy ... -2252.9 meV per atom

***

[9]
Dy2SeOF2 | SCAN | PBEsol geometry

Cell and atoms, written as POSCAR:
```
Dy2SeOF2
1.0
-2.466 0.313 2.724
-0.895 -13.160 0.704
8.918 6.415 7.335
Dy Se O F
12 6 6 12
Direct
0.750 0.117 0.603
0.750 0.397 0.514
0.750 0.486 0.883
0.250 0.883 0.397
0.250 0.603 0.486
0.250 0.514 0.117
0.750 0.234 0.944
0.750 0.056 0.289
0.750 0.711 0.766
0.250 0.766 0.056
0.250 0.944 0.711
0.250 0.289 0.234
0.750 0.488 0.281
0.750 0.719 0.207
0.750 0.793 0.512
0.250 0.512 0.719
0.250 0.281 0.793
0.250 0.207 0.488
0.750 0.427 0.014
0.750 0.986 0.412
0.750 0.588 0.573
0.250 0.573 0.986
0.250 0.014 0.588
0.250 0.412 0.427
0.750 0.207 0.106
0.750 0.894 0.101
0.750 0.899 0.793
0.250 0.793 0.894
0.250 0.106 0.899
0.250 0.101 0.207
0.750 0.067 0.752
0.750 0.248 0.315
0.750 0.685 0.933
0.250 0.933 0.248
0.250 0.752 0.685
0.250 0.315 0.067
```

Computed properties:
SG ... P6_3/m
DOS at the Fermi energy ... 0.00 states/eV per cell
Raw formation energy ... -3716.3 meV per atom

***

[10]
DyPtF7 | SCAN | PBEsol geometry

Cell and atoms, written as POSCAR:
```
DyPtF7
1.0
-0.498 -4.946 -2.191
2.130 -3.620 7.688
-10.876 1.163 -0.155
Dy Pt F
4 4 28
Direct
0.761 0.422 0.236
0.261 0.078 0.264
0.239 0.578 0.764
0.739 0.922 0.736
0.757 0.771 0.043
0.257 0.729 0.457
0.243 0.229 0.957
0.743 0.271 0.543
0.438 0.382 0.086
0.938 0.118 0.414
0.562 0.618 0.914
0.062 0.882 0.586
0.439 0.180 0.458
0.939 0.320 0.042
0.561 0.820 0.542
0.061 0.680 0.958
0.771 0.620 0.141
0.271 0.880 0.359
0.229 0.380 0.859
0.729 0.120 0.641
0.755 0.927 0.949
0.255 0.573 0.551
0.245 0.073 0.051
0.745 0.427 0.449
0.960 0.640 0.365
0.460 0.860 0.135
0.040 0.360 0.635
0.540 0.140 0.865
0.055 0.078 0.824
0.555 0.422 0.676
0.945 0.922 0.176
0.445 0.578 0.324
0.408 0.801 0.768
0.908 0.699 0.732
0.592 0.199 0.232
0.092 0.301 0.268
```

Computed properties:
SG ... P2_1/c
DOS at the Fermi energy ... 0.00 states/eV per cell
Raw formation energy ... -2805.3 meV per atom

***

[11]
DyFe5 | SCAN | PBEsol geometry

Cell and atoms, written as POSCAR:
```
DyFe5
1.0
-3.295 -1.094 1.741
0.316 -4.363 -2.143
2.059 0.730 4.354
Dy Fe
1 5
Direct
0.000 0.000 0.000
0.500 0.500 0.500
0.000 0.667 0.333
0.500 0.500 0.000
0.000 0.333 0.667
0.500 0.000 0.500
```

Computed properties:
SG ... P6/mmm
DOS at the Fermi energy ... 5.74 states/eV per cell
Energy relative to the elements ... 10 meV/atom

***

[12]
Dy2Fe17 | SCAN | PBEsol geometry

Cell and atoms, written as POSCAR:
```
Dy2Fe17
1.0
8.042 0.000 0.000
0.000 8.170 0.000
0.000 -4.085 7.075
Dy Fe
4 34
Direct
0.250 0.000 0.000
0.750 0.000 0.000
0.750 0.333 0.667
0.250 0.667 0.333
0.108 0.333 0.667
0.892 0.667 0.333
0.608 0.667 0.333
0.392 0.333 0.667
0.000 0.500 0.500
0.000 0.000 0.500
0.000 0.500 0.000
0.500 0.500 0.500
0.500 0.000 0.500
0.500 0.500 0.000
0.250 0.630 0.671
0.250 0.041 0.370
0.250 0.329 0.959
0.250 0.329 0.370
0.250 0.630 0.959
0.250 0.041 0.671
0.750 0.370 0.329
0.750 0.959 0.630
0.750 0.671 0.041
0.750 0.671 0.630
0.750 0.370 0.041
0.750 0.959 0.329
0.989 0.165 0.835
0.989 0.669 0.835
0.989 0.165 0.331
0.011 0.835 0.165
0.011 0.331 0.165
0.011 0.835 0.669
0.489 0.835 0.165
0.489 0.331 0.165
0.489 0.835 0.669
0.511 0.165 0.835
0.511 0.669 0.835
0.511 0.165 0.331
```

Computed properties:
SG ... P6_3/mmc
DOS at the Fermi energy ... 23.58 states/eV per cell
Energy relative to the elements ... 31 meV/atom